TcBiRh: optimized geometry, PBE.

Results
- formation enthalpy at 0 K (meV/atom) = 518.3
- mass density (g/cm³) = 11.95
- magnetization (μB per formula unit) = 0.00
- DOS(E_F) (states/eV/f.u.) = 3.68
- ΔE to the lowest computed polymorph (meV per atom) = 143
- total DFT energy (no corrections) (eV per cell) = -40.1

POSCAR file:
```
TcBiRh
1.0
-1.476 -1.541 -4.268
0.037 -3.072 1.097
-5.485 2.226 6.419
Tc Rh Bi
2 2 2
direct
0.603 0.500 0.545
0.603 0.000 0.045
0.304 0.000 0.246
0.304 0.500 0.746
0.912 0.000 0.854
0.912 0.500 0.354
```